Entry 1:
HRh3Pb (PBE-GGA, optimized geometry); crystal system = orthorhombic; D(E_F) = 8.35 states/eV/cell; calculated volume = 13.7 Å³/atom
1.0
17.8444 0.0000 -6.4686
7.5128 1.9934 -4.6519
-7.5128 1.9934 4.6519
Pb H Rh
2 2 6
Direct
0.6741 0.9019 0.0981 Pb
0.3259 0.0981 0.9019 Pb
0.9233 0.9033 0.0967 H
0.0767 0.0967 0.9033 H
0.1851 0.8799 0.1201 Rh
0.8149 0.1201 0.8799 Rh
0.9476 0.3548 0.6452 Rh
0.0524 0.6452 0.3548 Rh
0.5588 0.6323 0.3677 Rh
0.4412 0.3677 0.6323 Rh

Entry 2:
HRh3Pb (PBE-GGA, optimized geometry); crystal system = monoclinic; D(E_F) = 8.06 states/eV/cell; calculated volume = 15.6 Å³/atom
1.0
4.1752 0.0000 0.0289
0.0000 5.5726 0.0000
-1.9773 0.0000 6.7023
Pb H Rh
2 2 6
Direct
0.5913 0.2500 0.6555 Pb
0.4087 0.7500 0.3445 Pb
0.9332 0.2500 0.2882 H
0.0668 0.7500 0.7118 H
0.8059 0.9878 0.1196 Rh
0.1941 0.0122 0.8804 Rh
0.8059 0.5122 0.1196 Rh
0.1941 0.4878 0.8804 Rh
0.3664 0.2500 0.2428 Rh
0.6336 0.7500 0.7572 Rh

Entry 3:
H4RhPb (PBE-GGA, optimized geometry); crystal system = monoclinic; D(E_F) = 1.90 states/eV/cell; calculated volume = 11.2 Å³/atom
1.0
4.6936 0.0000 -0.0742
0.0000 5.2160 0.0000
-1.4278 -2.6080 5.5339
H Rh Pb
8 2 2
Direct
0.2214 0.7025 0.4050 H
0.4305 0.1912 0.7994 H
0.0000 0.2842 0.0000 H
0.5695 0.3917 0.2006 H
0.7786 0.2975 0.5950 H
0.5695 0.8088 0.2006 H
0.0000 0.7158 0.0000 H
0.4305 0.6083 0.7994 H
0.2992 0.5722 0.1444 Rh
0.7008 0.4278 0.8556 Rh
0.7877 0.8112 0.6224 Pb
0.2123 0.1888 0.3776 Pb

Entry 4:
H3RhPb (PBE-GGA, optimized geometry); crystal system = monoclinic; D(E_F) = 5.01 states/eV/cell; calculated volume = 12.5 Å³/atom
1.0
-5.6052 1.1664 -0.8481
-1.8889 -5.0442 5.5468
1.3613 6.9926 0.6201
H Rh Pb
12 4 4
Direct
0.2302 0.3602 0.1829 H
0.7698 0.6398 0.8171 H
0.7302 0.1398 0.3171 H
0.2698 0.8602 0.6829 H
0.1823 0.6731 0.3214 H
0.8177 0.3269 0.6786 H
0.6823 0.8269 0.1786 H
0.3177 0.1731 0.8214 H
0.9507 0.9142 0.5509 H
0.0493 0.0858 0.4491 H
0.4507 0.5858 0.9491 H
0.5493 0.4142 0.0509 H
0.2592 0.4537 0.0326 Rh
0.7408 0.5463 0.9674 Rh
0.7592 0.0463 0.4674 Rh
0.2408 0.9537 0.5326 Rh
0.6168 0.6897 0.4797 Pb
0.3832 0.3103 0.5203 Pb
0.1168 0.8103 0.0203 Pb
0.8832 0.1897 0.9797 Pb

Entry 5:
H12Rh7Pb (PBE-GGA, optimized geometry); crystal system = trigonal; D(E_F) = 10.34 states/eV/cell; calculated volume = 8.6 Å³/atom
1.0
9.0399 0.0000 2.8911
-3.7110 3.9669 1.2178
1.6180 0.0000 5.3266
H Rh Pb
12 7 1
Direct
0.8215 0.3786 0.2522 H
0.9263 0.7478 0.6308 H
0.5421 0.3515 0.8680 H
0.5899 0.1320 0.2195 H
0.5571 0.6308 0.6214 H
0.8094 0.2195 0.6485 H
0.1906 0.7805 0.3515 H
0.4429 0.3692 0.3786 H
0.4101 0.8680 0.7805 H
0.4579 0.6485 0.1320 H
0.0737 0.2522 0.3692 H
0.1785 0.6214 0.7478 H
0.9365 0.4985 0.8071 Rh
0.2564 0.1929 0.3056 Rh
0.5620 0.3056 0.5015 Rh
0.5000 0.0000 0.0000 Rh
0.4380 0.6944 0.4985 Rh
0.7436 0.8071 0.6944 Rh
0.0635 0.5015 0.1929 Rh
0.0000 0.0000 0.0000 Pb

Entry 6:
H5Rh12Pb3 (PBE-GGA, optimized geometry); crystal system = cubic; D(E_F) = 120.94 states/eV/cell; calculated volume = 13.6 Å³/atom
1.0
11.2336 0.0000 0.0000
-3.7445 10.5912 0.0000
-3.7445 -5.2956 9.1722
Pb H Rh
12 20 48
Direct
0.7500 0.3750 0.1250 Pb
0.8750 0.7500 0.1250 Pb
0.3750 0.7500 0.6250 Pb
0.2500 0.1250 0.3750 Pb
0.8750 0.1250 0.2500 Pb
0.3750 0.6250 0.2500 Pb
0.6250 0.3750 0.7500 Pb
0.1250 0.8750 0.7500 Pb
0.7500 0.8750 0.6250 Pb
0.6250 0.2500 0.3750 Pb
0.1250 0.2500 0.8750 Pb
0.2500 0.6250 0.8750 Pb
0.1250 0.3750 0.2500 H
0.0000 0.5000 0.0000 H
0.0000 0.0000 0.0000 H
0.3750 0.2500 0.1250 H
0.5000 0.0000 0.5000 H
0.5000 0.5000 0.0000 H
0.1250 0.7500 0.3750 H
0.7500 0.1250 0.8750 H
0.7500 0.6250 0.3750 H
0.3750 0.1250 0.7500 H
0.6250 0.8750 0.2500 H
0.5000 0.5000 0.5000 H
0.5000 0.0000 0.0000 H
0.0000 0.0000 0.5000 H
0.2500 0.3750 0.6250 H
0.2500 0.8750 0.1250 H
0.0000 0.5000 0.5000 H
0.8750 0.2500 0.6250 H
0.6250 0.7500 0.8750 H
0.8750 0.6250 0.7500 H
0.6863 0.0897 0.9936 Rh
0.3072 0.4936 0.4039 Rh
0.0064 0.4103 0.3137 Rh
0.4936 0.1863 0.0897 Rh
0.5966 0.6863 0.6928 Rh
0.0064 0.5961 0.1928 Rh
0.3072 0.8137 0.4034 Rh
0.0961 0.9034 0.0897 Rh
0.5961 0.0064 0.6928 Rh
0.6863 0.5966 0.1928 Rh
0.8137 0.5064 0.4103 Rh
0.8072 0.9039 0.9936 Rh
0.0897 0.6863 0.4936 Rh
0.4103 0.4039 0.0966 Rh
0.0966 0.9039 0.4103 Rh
0.4034 0.0897 0.5961 Rh
0.0966 0.1928 0.1863 Rh
0.5064 0.6928 0.0961 Rh
0.8072 0.9034 0.3137 Rh
0.0897 0.4034 0.0961 Rh
0.4103 0.0064 0.8137 Rh
0.5961 0.5897 0.4034 Rh
0.9039 0.8072 0.4936 Rh
0.8137 0.3072 0.9034 Rh
0.4039 0.4103 0.5966 Rh
0.0961 0.1928 0.5064 Rh
0.1863 0.6928 0.0966 Rh
0.1928 0.0966 0.6863 Rh
0.5897 0.9936 0.1863 Rh
0.9103 0.5966 0.9039 Rh
0.4936 0.3072 0.9039 Rh
0.5966 0.9103 0.4039 Rh
0.9034 0.8072 0.8137 Rh
0.9034 0.0961 0.5897 Rh
0.9103 0.3137 0.5064 Rh
0.1928 0.0961 0.0064 Rh
0.5897 0.5961 0.9034 Rh
0.4039 0.9936 0.3072 Rh
0.3137 0.4034 0.8072 Rh
0.1863 0.4936 0.5897 Rh
0.9039 0.0966 0.9103 Rh
0.6928 0.1863 0.5966 Rh
0.5064 0.8137 0.9103 Rh
0.9936 0.4039 0.8072 Rh
0.4034 0.3137 0.3072 Rh
0.9936 0.5897 0.6863 Rh
0.6928 0.5064 0.5961 Rh
0.3137 0.9103 0.0064 Rh

Entry 7:
H2Rh3Pb2 (PBE-GGA, optimized geometry); crystal system = monoclinic; D(E_F) = 5.77 states/eV/cell; calculated volume = 14.3 Å³/atom
1.0
-3.1748 -1.0177 -0.4434
-0.4588 -4.8967 1.7682
-2.7807 0.6444 5.6763
H Rh Pb
2 3 2
Direct
0.7901 0.3436 0.0763 H
0.2099 0.6564 0.9237 H
0.0000 0.0000 0.0000 Rh
0.7920 0.6188 0.7972 Rh
0.2080 0.3812 0.2028 Rh
0.5758 0.2029 0.6455 Pb
0.4242 0.7971 0.3545 Pb

Entry 8:
H5RhPb2 (PBE-GGA, optimized geometry); crystal system = orthorhombic; D(E_F) = 0.60 states/eV/cell; calculated volume = 13.1 Å³/atom
1.0
4.7475 -0.0002 2.1617
1.7760 4.4300 2.3930
0.4470 0.3026 5.3113
H Rh Pb
5 1 2
Direct
0.7683 0.7753 0.2310 H
0.7683 0.2309 0.7752 H
0.2255 0.7753 0.2310 H
0.2256 0.2309 0.7752 H
0.2347 0.7653 0.7653 H
0.0113 0.9888 0.9888 Rh
0.2445 0.2554 0.2554 Pb
0.7448 0.7551 0.7551 Pb

Entry 9:
H2RhPb (PBE-GGA, optimized geometry); crystal system = trigonal; D(E_F) = 0.75 states/eV/cell; calculated volume = 12.3 Å³/atom
1.0
-2.9711 0.5242 -1.1377
-1.0689 -1.6661 -2.5451
-3.3116 -4.2416 2.1251
H Rh Pb
2 1 1
Direct
0.0075 0.0075 0.9776 H
0.3216 0.3216 0.0351 H
0.6741 0.6741 0.9778 Rh
0.4968 0.4968 0.5095 Pb

Entry 10:
HRh4Pb2 (PBE-GGA, optimized geometry); crystal system = tetragonal; D(E_F) = 9.05 states/eV/cell; calculated volume = 15.9 Å³/atom
1.0
-2.9743 -0.0620 -2.7347
-2.3641 -1.9740 2.6160
0.3486 6.9633 2.4484
Pb H Rh
2 1 4
Direct
0.6507 0.6507 0.3014 Pb
0.3493 0.3493 0.6986 Pb
0.0000 0.0000 0.0000 H
0.8529 0.8529 0.7057 Rh
0.1471 0.1471 0.2943 Rh
0.0000 0.5000 0.0000 Rh
0.5000 0.0000 0.0000 Rh

Entry 11:
HRh3Pb (PBE-GGA, optimized geometry); crystal system = orthorhombic; D(E_F) = 4.41 states/eV/cell; calculated volume = 19.3 Å³/atom
1.0
2.8284 0.0000 0.0000
0.0000 2.6197 -6.5172
0.0000 2.6197 6.5172
Pb H Rh
1 1 3
Direct
0.5000 0.0966 0.9034 Pb
0.0000 0.4394 0.5606 H
0.5000 0.6725 0.8562 Rh
0.5000 0.1438 0.3275 Rh
0.0000 0.2757 0.7243 Rh

Entry 12:
H3RhPb (PBE-GGA, optimized geometry); crystal system = cubic; D(E_F) = 0.89 states/eV/cell; calculated volume = 10.5 Å³/atom
1.0
-3.1330 2.0264 -0.3486
-1.3642 -1.5731 3.1158
1.5385 2.7318 2.0528
Pb H Rh
1 3 1
Direct
0.5000 0.5000 0.5000 Pb
0.0000 0.5000 0.0000 H
0.0000 0.0000 0.5000 H
0.5000 0.0000 0.0000 H
0.0000 0.0000 0.0000 Rh

Entry 13:
H2RhPb (PBE-GGA, optimized geometry); crystal system = cubic; D(E_F) = 2.90 states/eV/cell; calculated volume = 12.4 Å³/atom
1.0
-0.5197 -0.8716 4.0013
-2.5784 -3.0164 1.1374
1.4974 -3.5174 1.5576
Pb H Rh
1 2 1
Direct
0.5000 0.5000 0.5000 Pb
0.2500 0.2500 0.2500 H
0.7500 0.7500 0.7500 H
0.0000 0.0000 0.0000 Rh

Entry 14:
H5Rh4Pb2 (PBE-GGA, optimized geometry); crystal system = triclinic; D(E_F) = 4.62 states/eV/cell; calculated volume = 12.0 Å³/atom
1.0
-4.2410 -2.6470 -1.6307
1.1686 -5.0956 -0.6160
-4.1234 0.3903 4.2794
H Rh Pb
5 4 2
Direct
0.1631 0.4348 0.9566 H
0.6838 0.6070 0.1782 H
0.3467 0.2708 0.1789 H
0.6286 0.3262 0.8875 H
0.5207 0.7911 0.9556 H
0.3905 0.9928 0.3134 Rh
0.4840 0.0715 0.8222 Rh
0.8840 0.4703 0.8216 Rh
0.9606 0.5644 0.3143 Rh
0.1381 0.8168 0.6879 Pb
0.8000 0.1543 0.3836 Pb

Entry 15:
H7Rh2Pb (PBE-GGA, optimized geometry); crystal system = orthorhombic; D(E_F) = 0.66 states/eV/cell; calculated volume = 8.9 Å³/atom
1.0
3.5314 0.0000 0.0000
0.0000 4.8508 -2.6471
0.0000 -0.2395 5.3293
H Rh Pb
7 2 1
Direct
0.0000 0.3231 0.6463 H
0.0000 0.6769 0.3537 H
0.5000 0.3471 0.3029 H
0.5000 0.6529 0.6971 H
0.5000 0.0443 0.6971 H
0.5000 0.9557 0.3029 H
0.5000 0.5000 0.0000 H
0.5000 0.3081 0.6162 Rh
0.5000 0.6919 0.3838 Rh
0.0000 0.0000 0.0000 Pb

Entry 16:
H2RhPb (PBE-GGA, optimized geometry); crystal system = tetragonal; D(E_F) = 3.67 states/eV/cell; calculated volume = 13.1 Å³/atom
1.0
4.5736 0.0000 0.0000
0.0000 4.5736 0.0000
2.2868 2.2868 5.0184
Pb H Rh
2 4 2
Direct
0.0000 0.0000 0.0000 Pb
0.7500 0.2500 0.5000 Pb
0.4062 0.1250 0.2500 H
0.3438 0.6250 0.2500 H
0.3750 0.5938 0.7500 H
0.8750 0.6562 0.7500 H
0.5000 0.5000 0.0000 Rh
0.2500 0.7500 0.5000 Rh

Entry 17:
HRh3Pb (PBE-GGA, optimized geometry); crystal system = orthorhombic; D(E_F) = 12.07 states/eV/cell; calculated volume = 14.6 Å³/atom
1.0
2.3739 1.7071 4.4533
-4.9223 1.8476 -0.8599
-2.1654 -4.4398 2.8562
Pb H Rh
2 2 6
Direct
0.4679 0.5321 0.2500 Pb
0.5321 0.4679 0.7500 Pb
0.1281 0.8719 0.2500 H
0.8719 0.1281 0.7500 H
0.9639 0.4992 0.2500 Rh
0.5008 0.0361 0.2500 Rh
0.4992 0.9639 0.7500 Rh
0.0361 0.5008 0.7500 Rh
0.0000 0.0000 0.0000 Rh
0.0000 0.0000 0.5000 Rh

Entry 18:
HRh3Pb (PBE-GGA, optimized geometry); crystal system = cubic; D(E_F) = 2.53 states/eV/cell; calculated volume = 13.4 Å³/atom
1.0
-0.5554 -3.7860 1.3693
3.3439 -1.2036 -1.9716
2.2422 0.8572 3.2795
Pb H Rh
1 1 3
Direct
0.5000 0.5000 0.5000 Pb
0.0000 0.0000 0.0000 H
0.0000 0.5000 0.0000 Rh
0.0000 0.0000 0.5000 Rh
0.5000 0.0000 0.0000 Rh

Entry 19:
HRh3Pb (PBE-GGA, optimized geometry); crystal system = hexagonal; D(E_F) = 11.59 states/eV/cell; calculated volume = 14.5 Å³/atom
1.0
-2.8197 -0.3742 -1.3730
0.7438 -1.6863 2.5649
-6.3574 12.0569 9.7707
Pb H Rh
2 2 6
Direct
0.0000 0.0000 0.0000 Pb
0.0000 0.0000 0.5000 Pb
0.3333 0.6667 0.7500 H
0.6667 0.3333 0.2500 H
0.0000 0.0000 0.2500 Rh
0.0000 0.0000 0.7500 Rh
0.3333 0.6667 0.8721 Rh
0.3333 0.6667 0.6279 Rh
0.6667 0.3333 0.3721 Rh
0.6667 0.3333 0.1279 Rh

Number 1: energy -0.21290 Ha/atom. Number 2: energy -0.20953 Ha/atom. Number 3: energy -0.14634 Ha/atom. Number 4: energy -0.15329 Ha/atom. Number 5: energy -0.17185 Ha/atom. Number 6: energy -0.20645 Ha/atom. Number 7: energy -0.18836 Ha/atom. Number 8: energy -0.14148 Ha/atom. Number 9: energy -0.16104 Ha/atom. Number 10: energy -0.21065 Ha/atom. Number 11: energy -0.19654 Ha/atom. Number 12: energy -0.15364 Ha/atom. Number 13: energy -0.13268 Ha/atom. Number 14: energy -0.17931 Ha/atom. Number 15: energy -0.15306 Ha/atom. Number 16: energy -0.15951 Ha/atom. Number 17: energy -0.20488 Ha/atom. Number 18: energy -0.21652 Ha/atom. Number 19: energy -0.20396 Ha/atom.